(A)
Here is HoTcAs2 after structural relaxation from the Alexandria database. Energies are from GGA-PBE.

POSCAR file:
```
HoTcAs2
1.0
-0.0559 4.4261 1.4450
-4.0466 2.0648 1.0212
-1.0564 0.9912 4.4252
As Ho Tc
2 1 1
direct
0.2500 0.2500 0.2500
0.7500 0.7500 0.7500
0.0000 0.0000 0.0000
0.5000 0.5000 0.5000
```

Computed properties:
**Space group**: No. 225
**Theoretical density**: 9.60 Mg/m³
**Fermi-level density of states**: 0.189 states/eV per atom

(B)
Here is HoTcAs2 after structural relaxation from the Alexandria database. Energies are from GGA-PBE.

POSCAR file:
```
HoTcAs2
1.0
-0.6052 2.3502 -1.8584
-0.0939 -0.4284 -3.0251
-9.7389 -1.3508 -1.0508
Ho As Tc
1 2 1
direct
0.5000 0.5000 0.5000
0.9164 0.9164 0.2508
0.0836 0.0836 0.7492
0.0000 0.0000 0.0000
```

Computed properties:
**Space group**: No. 166
**Theoretical density**: 8.71 Mg/m³
**Fermi-level density of states**: 0.987 states/eV per atom

Stability order, top to bottom: (A), (B)

(A)
Here is HoTlAs after structural relaxation from the Alexandria database. Energies are from GGA-PBE.

POSCAR file:
```
HoTlAs
1.0
-1.5428 -2.3274 4.1234
-2.7126 -3.1201 -2.7761
5.4778 -4.3842 -0.4250
As Tl Ho
2 2 2
direct
0.0000 0.5000 0.2965
0.5000 0.0000 0.7035
0.5000 0.0000 0.1322
0.0000 0.5000 0.8678
0.0000 0.0000 0.5000
0.5000 0.5000 0.5000
```

Computed properties:
**Space group**: No. 129
**Theoretical density**: 8.46 Mg/m³
**Fermi-level density of states**: 0.716 states/eV per atom

(B)
Here is HoTlAs after structural relaxation from the Alexandria database. Energies are from GGA-PBE.

POSCAR file:
```
HoTlAs
1.0
-0.9073 -3.5826 -1.4612
3.5820 -1.3451 1.0737
-3.4707 0.9003 5.3519
Tl As Ho
1 1 1
direct
0.9925 0.9925 0.9850
0.7452 0.7452 0.4904
0.2623 0.2623 0.5246
```

Computed properties:
**Space group**: No. 107
**Theoretical density**: 8.06 Mg/m³
**Fermi-level density of states**: 0.547 states/eV per atom

Stability order, top to bottom: (B), (A)

(A)
Here is HoTmAs2 after structural relaxation from the Alexandria database. Energies are from GGA-PBE.

POSCAR file:
```
HoTmAs2
1.0
4.0464 0.0000 0.0000
2.0232 3.5043 0.0000
2.0232 1.1681 6.9402
Tm Ho As
1 1 2
direct
0.4979 0.4979 0.5064
0.6690 0.6690 0.9929
0.2504 0.2504 0.2487
0.0827 0.0827 0.7520
```

Computed properties:
**Space group**: No. 160
**Theoretical density**: 8.16 Mg/m³
**Fermi-level density of states**: 0.097 states/eV per atom

(B)
Here is HoTmAs2 after structural relaxation from the Alexandria database. Energies are from GGA-PBE.

POSCAR file:
```
HoTmAs2
1.0
-3.6526 0.5150 1.7510
0.2555 -0.7823 -3.9994
2.0332 -6.6166 1.4214
As Tm Ho
2 1 1
direct
0.4984 0.7492 0.2476
0.5016 0.2508 0.7524
0.0000 0.0000 0.0000
0.0000 0.5000 0.5000
```

Computed properties:
**Space group**: No. 166
**Theoretical density**: 8.35 Mg/m³
**Fermi-level density of states**: 0.128 states/eV per atom

Stability order, top to bottom: (B), (A)

(A)
Here is HoUAs2 after structural relaxation from the Alexandria database. Energies are from GGA-PBE.

POSCAR file:
```
HoUAs2
1.0
-1.7723 -3.5308 0.3863
1.8353 -2.9411 1.9336
-2.9867 0.0285 6.9528
U Ho As
1 1 2
direct
0.4980 0.4980 0.5060
0.6692 0.6692 0.9924
0.0813 0.0813 0.7562
0.2515 0.2515 0.2455
```

Computed properties:
**Space group**: No. 160
**Theoretical density**: 9.33 Mg/m³
**Fermi-level density of states**: 1.051 states/eV per atom

(B)
Here is HoUAs2 after structural relaxation from the Alexandria database. Energies are from GGA-PBE.

POSCAR file:
```
HoUAs2
1.0
-1.1670 -1.8003 -3.4467
-1.8783 -3.5971 0.1238
-7.0074 1.3433 -0.7202
As U Ho
2 1 1
direct
0.2501 0.2501 0.2498
0.7499 0.7499 0.7502
0.0000 0.0000 0.0000
0.5000 0.5000 0.5000
```

Computed properties:
**Space group**: No. 166
**Theoretical density**: 9.49 Mg/m³
**Fermi-level density of states**: 0.947 states/eV per atom

Stability order, top to bottom: (B), (A)

(A)
Here is HoZrAs2 after structural relaxation from the Alexandria database. Energies are from GGA-PBE.

POSCAR file:
```
HoZrAs2
1.0
3.9029 0.0000 0.0000
1.9515 3.3800 0.0000
1.9515 1.1267 6.8511
As Zr Ho
2 1 1
direct
0.2461 0.2461 0.2618
0.0859 0.0859 0.7422
0.4974 0.4974 0.5079
0.6706 0.6706 0.9881
```

Computed properties:
**Space group**: No. 160
**Theoretical density**: 7.46 Mg/m³
**Fermi-level density of states**: 0.861 states/eV per atom

(B)
Here is HoZrAs2 after structural relaxation from the Alexandria database. Energies are from GGA-PBE.

POSCAR file:
```
HoZrAs2
1.0
-0.2002 2.2498 3.2450
-1.9758 -3.4210 -0.1566
5.9993 -3.4760 0.3759
As Ho Zr
2 1 1
direct
0.5076 0.2538 0.7614
0.4924 0.7462 0.2386
0.0000 0.5000 0.5000
0.0000 0.0000 0.0000
```

Computed properties:
**Space group**: No. 166
**Theoretical density**: 7.59 Mg/m³
**Fermi-level density of states**: 0.417 states/eV per atom

Stability order, top to bottom: (B), (A)

(A)
Here is In2As2I after structural relaxation from the Alexandria database. Energies are from GGA-PBE.

POSCAR file:
```
In2As2I
1.0
-4.3707 -1.5753 2.6274
-2.4926 -0.8327 -4.6456
-1.8634 -5.6341 -1.0564
In As I
2 2 1
direct
0.7500 0.2500 0.5000
0.2500 0.7500 0.5000
0.6324 0.6324 0.7352
0.3676 0.3676 0.2648
0.0000 0.0000 0.0000
```

Computed properties:
**Space group**: No. 139
**Theoretical density**: 6.28 Mg/m³
**Fermi-level density of states**: 0.213 states/eV per atom

(B)
Here is In2As2I after structural relaxation from the Alexandria database. Energies are from GGA-PBE.

POSCAR file:
```
In2As2I
1.0
-3.3543 -2.1225 -0.1316
2.0182 -3.0999 -1.4461
0.8482 -5.5262 7.5757
In As I
2 2 1
direct
0.6166 0.6166 0.7669
0.3834 0.3834 0.2331
0.7500 0.2500 0.5000
0.2500 0.7500 0.5000
0.0000 0.0000 0.0000
```

Computed properties:
**Space group**: No. 139
**Theoretical density**: 5.93 Mg/m³
**Fermi-level density of states**: 0.463 states/eV per atom

Stability order, top to bottom: (A), (B)

(A)
Here is InAsI3 after structural relaxation from the Alexandria database. Energies are from GGA-PBE.

POSCAR file:
```
InAsI3
1.0
5.8045 0.0000 0.0000
0.0000 5.8045 0.0000
0.0000 0.0000 5.8045
I As In
3 1 1
direct
0.0000 0.5000 0.0000
0.5000 0.0000 0.0000
0.0000 0.0000 0.5000
0.0000 0.0000 0.0000
0.5000 0.5000 0.5000
```

Computed properties:
**Space group**: No. 221
**Theoretical density**: 4.84 Mg/m³
**Fermi-level density of states**: 0.316 states/eV per atom

(B)
Here is InAsI3 after structural relaxation from the Alexandria database. Energies are from GGA-PBE.

POSCAR file:
```
InAsI3
1.0
5.9623 0.0000 0.0000
0.0000 5.9623 0.0000
0.0000 0.0000 5.9623
As I In
1 3 1
direct
0.5000 0.5000 0.5000
0.5000 0.0000 0.0000
0.0000 0.0000 0.5000
0.0000 0.5000 0.0000
0.0000 0.0000 0.0000
```

Computed properties:
**Space group**: No. 221
**Theoretical density**: 4.47 Mg/m³
**Fermi-level density of states**: 1.650 states/eV per atom

Stability order, top to bottom: (A), (B)

(A)
Here is InAsI2N after structural relaxation from the Alexandria database. Energies are from GGA-PBE.

POSCAR file:
```
InAsI2N
1.0
-1.7897 -2.7889 -5.0570
-2.2084 -4.5614 3.2972
-3.5438 1.8749 0.2202
I As In N
2 1 1 1
direct
0.5000 0.0000 0.0000
0.0000 0.5000 0.0000
0.5000 0.5000 0.5000
0.0000 0.0000 0.0000
0.0000 0.0000 0.5000
```

Computed properties:
**Space group**: No. 123
**Theoretical density**: 5.18 Mg/m³
**Fermi-level density of states**: 1.901 states/eV per atom

(B)
Here is InAsI2N after structural relaxation from the Alexandria database. Energies are from GGA-PBE.

POSCAR file:
```
InAsI2N
1.0
6.7298 0.0000 0.0000
0.0000 6.7298 0.0000
0.0000 0.0000 3.6632
In As N I
1 1 1 2
direct
0.5000 0.5000 0.5000
0.0000 0.0000 0.0000
0.0000 0.0000 0.5000
0.5000 0.0000 0.0000
0.0000 0.5000 0.0000
```

Computed properties:
**Space group**: No. 123
**Theoretical density**: 4.58 Mg/m³
**Fermi-level density of states**: 0.371 states/eV per atom

Stability order, top to bottom: (B), (A)

(A)
Here is InAsIN2 after structural relaxation from the Alexandria database. Energies are from GGA-PBE.

POSCAR file:
```
InAsIN2
1.0
-3.6887 1.7555 0.3646
-0.8694 -2.4808 3.1482
2.4074 4.2283 3.9967
I N As In
1 2 1 1
direct
0.0000 0.0000 0.5000
0.5000 0.0000 0.0000
0.0000 0.5000 0.0000
0.0000 0.0000 0.0000
0.5000 0.5000 0.5000
```

Computed properties:
**Space group**: No. 123
**Theoretical density**: 5.40 Mg/m³
**Fermi-level density of states**: 0.529 states/eV per atom

(B)
Here is InAsIN2 after structural relaxation from the Alexandria database. Energies are from GGA-PBE.

POSCAR file:
```
InAsIN2
1.0
4.3031 0.0000 0.0000
0.0000 4.3031 0.0000
0.0000 0.0000 7.1884
As N In I
1 2 1 1
direct
0.5000 0.5000 0.5000
0.5000 0.0000 0.0000
0.0000 0.5000 0.0000
0.0000 0.0000 0.0000
0.0000 0.0000 0.5000
```

Computed properties:
**Space group**: No. 123
**Theoretical density**: 4.30 Mg/m³
**Fermi-level density of states**: 0.547 states/eV per atom

Stability order, top to bottom: (A), (B)

(A)
Here is InAsI2O after structural relaxation from the Alexandria database. Energies are from GGA-PBE.

POSCAR file:
```
InAsI2O
1.0
-0.6836 1.3783 5.9490
-2.9832 -5.2986 0.8849
3.4190 -1.7900 0.8076
In As I O
1 1 2 1
direct
0.0000 0.0000 0.0000
0.5000 0.5000 0.5000
0.5000 0.0000 0.0000
0.0000 0.5000 0.0000
0.0000 0.0000 0.5000
```

Computed properties:
**Space group**: No. 123
**Theoretical density**: 5.13 Mg/m³
**Fermi-level density of states**: 0.876 states/eV per atom

(B)
Here is InAsI2O after structural relaxation from the Alexandria database. Energies are from GGA-PBE.

POSCAR file:
```
InAsI2O
1.0
6.0481 0.0000 0.0000
0.0000 6.0481 0.0000
0.0000 0.0000 3.8792
As O I In
1 1 2 1
direct
0.0000 0.0000 0.0000
0.0000 0.0000 0.5000
0.5000 0.0000 0.0000
0.0000 0.5000 0.0000
0.5000 0.5000 0.5000
```

Computed properties:
**Space group**: No. 123
**Theoretical density**: 5.38 Mg/m³
**Fermi-level density of states**: 0.047 states/eV per atom

Stability order, top to bottom: (B), (A)

(A)
Here is InTe2AsI after structural relaxation from the Alexandria database. Energies are from GGA-PBE.

POSCAR file:
```
InTe2AsI
1.0
-4.4282 -3.3154 0.4688
2.4544 -3.7426 -3.2847
2.3694 -2.5100 4.6304
In As Te I
1 1 2 1
direct
0.5000 0.5000 0.5000
0.0000 0.0000 0.0000
0.5000 0.0000 0.0000
0.0000 0.5000 0.0000
0.0000 0.0000 0.5000
```

Computed properties:
**Space group**: No. 123
**Theoretical density**: 5.33 Mg/m³
**Fermi-level density of states**: 1.374 states/eV per atom

(B)
Here is InTe2AsI after structural relaxation from the Alexandria database. Energies are from GGA-PBE.

POSCAR file:
```
InTe2AsI
1.0
5.7735 0.0000 0.0000
0.0000 5.7735 0.0000
0.0000 0.0000 5.7425
As In Te I
1 1 2 1
direct
0.5000 0.5000 0.5000
0.0000 0.0000 0.0000
0.0000 0.5000 0.0000
0.5000 0.0000 0.0000
0.0000 0.0000 0.5000
```

Computed properties:
**Space group**: No. 123
**Theoretical density**: 4.96 Mg/m³
**Fermi-level density of states**: 0.730 states/eV per atom

Stability order, top to bottom: (A), (B)

(A)
Here is AsIr2I2 after structural relaxation from the Alexandria database. Energies are from GGA-PBE.

POSCAR file:
```
AsIr2I2
1.0
3.8208 0.0000 0.0000
0.0000 3.8208 0.0000
1.9104 1.9104 7.8679
Ir As I
2 1 2
direct
0.7500 0.2500 0.5000
0.2500 0.7500 0.5000
0.0000 0.0000 0.0000
0.3768 0.3768 0.2463
0.6232 0.6232 0.7537
```

Computed properties:
**Space group**: No. 139
**Theoretical density**: 10.31 Mg/m³
**Fermi-level density of states**: 1.271 states/eV per atom

(B)
Here is AsIr2I2 after structural relaxation from the Alexandria database. Energies are from GGA-PBE.

POSCAR file:
```
AsIr2I2
1.0
8.5189 0.0000 0.0000
0.0000 8.5189 0.0000
0.0000 0.0000 3.1511
I As Ir
4 2 4
direct
0.7224 0.2224 0.0000
0.7776 0.7224 0.0000
0.2224 0.2776 0.0000
0.2776 0.7776 0.0000
0.0000 0.0000 0.0000
0.5000 0.5000 0.0000
0.8965 0.3965 0.5000
0.1035 0.6035 0.5000
0.6035 0.8965 0.5000
0.3965 0.1035 0.5000
```

Computed properties:
**Space group**: No. 127
**Theoretical density**: 10.36 Mg/m³
**Fermi-level density of states**: 0.847 states/eV per atom

Stability order, top to bottom: (A), (B)